1.
Compound: CrF
Source: Alexandria
Functional: GGA+U
Structure: relaxed Values from VASP.

Values from the calculation:
Symmetry: No. 217
Distance to the lowest polymorph of the same formula in eV/atom: 1.8540

Geometry as Quantum ESPRESSO input:
```
&SYSTEM
  ibrav = 0, nat = 16, ntyp = 2
/
ATOMIC_SPECIES
F 19.00 F.upf
Cr 52.00 Cr.upf
ATOMIC_POSITIONS angstrom
F 5.443 5.443 1.709
F 1.867 1.867 5.286
F 5.443 1.709 5.443
F 1.709 5.443 5.443
F 1.709 1.709 1.709
F 1.867 5.286 1.867
F 5.286 1.867 1.867
F 5.286 5.286 5.286
Cr 6.373 6.373 6.373
Cr 4.356 4.356 2.797
Cr 0.779 6.373 0.779
Cr 6.373 0.779 0.779
Cr 4.356 2.797 4.356
Cr 0.779 0.779 6.373
Cr 2.797 2.797 2.797
Cr 2.797 4.356 4.356
CELL_PARAMETERS angstrom
7.153 0.000 0.000
0.000 7.153 0.000
0.000 0.000 7.153
```

***

2.
Compound: CrF
Source: Alexandria
Functional: GGA+U
Structure: relaxed Values from VASP.

Values from the calculation:
Symmetry: No. 31
Distance to the lowest polymorph of the same formula in eV/atom: 0.0033
Density of states at the Fermi level in states/eV per atom: 0.154

Geometry as Quantum ESPRESSO input:
```
&SYSTEM
  ibrav = 0, nat = 12, ntyp = 2
/
ATOMIC_SPECIES
Cr 52.00 Cr.upf
F 19.00 F.upf
ATOMIC_POSITIONS angstrom
Cr -0.795 -5.429 1.318
Cr 1.946 -8.137 1.086
Cr 2.835 -5.323 0.008
Cr 0.800 -1.981 0.066
Cr -1.445 -9.091 2.789
Cr 3.487 -1.667 -1.477
F 2.708 -9.805 1.916
F 0.200 -7.956 2.554
F 1.139 -6.452 0.241
F 4.481 -4.191 -0.235
F 4.966 -1.399 0.443
F 1.561 -3.646 0.903
CELL_PARAMETERS angstrom
-3.134 -9.924 3.801
0.455 -1.292 -2.999
4.972 -1.100 1.228
```

***

3.
Compound: CrF4
Source: Alexandria
Functional: GGA+U
Structure: relaxed Values from VASP.

Values from the calculation:
Symmetry: No. 15
DFT total energy in eV for the cell shown: -211.09

Geometry as Quantum ESPRESSO input:
```
&SYSTEM
  ibrav = 0, nat = 40, ntyp = 2
/
ATOMIC_SPECIES
Cr 52.00 Cr.upf
F 19.00 F.upf
ATOMIC_POSITIONS angstrom
Cr 7.727 2.174 0.012
Cr 8.339 2.582 3.574
Cr 10.475 6.969 0.746
Cr 3.510 2.363 6.432
Cr 11.129 7.448 4.337
Cr 2.856 1.885 2.841
Cr 5.646 6.750 3.603
Cr 6.258 7.159 7.166
F 5.576 6.059 1.793
F 10.685 2.186 6.490
F 5.601 5.127 4.241
F 3.451 1.569 4.662
F 8.409 3.273 5.384
F 10.557 5.803 4.320
F 2.100 2.135 1.071
F 10.534 7.764 2.515
F 5.446 8.578 2.899
F 7.774 6.577 6.528
F 8.409 1.246 7.170
F 10.673 5.357 1.372
F 3.704 6.838 3.578
F 3.428 3.530 2.858
F 4.059 4.742 0.088
F 3.312 3.976 5.806
F 8.539 0.754 4.279
F 6.610 2.377 3.679
F 11.885 7.197 6.106
F 9.926 4.590 7.090
F 4.269 1.083 2.214
F 8.384 4.205 2.937
F 7.375 6.955 3.499
F 8.404 1.822 1.793
F 3.300 7.146 0.687
F 6.211 2.755 0.650
F 9.716 8.250 4.963
F 5.581 7.511 5.384
F 8.737 7.072 0.729
F 10.281 2.495 3.599
F 5.248 2.261 6.449
F 5.576 8.087 0.008
CELL_PARAMETERS angstrom
9.128 0.007 -0.002
3.510 8.427 -0.002
1.347 0.899 7.182
```

***

4.
Compound: CrF
Source: Alexandria
Functional: GGA+U
Structure: relaxed Values from VASP.

Values from the calculation:
Symmetry: No. 62
Distance to the lowest polymorph of the same formula in eV/atom: 0.0000
Density of states at the Fermi level in states/eV per atom: 0.176

Geometry as Quantum ESPRESSO input:
```
&SYSTEM
  ibrav = 0, nat = 16, ntyp = 2
/
ATOMIC_SPECIES
Cr 52.00 Cr.upf
F 19.00 F.upf
ATOMIC_POSITIONS angstrom
Cr -2.394 -1.805 10.479
Cr -1.506 1.481 12.448
Cr -2.404 3.038 2.040
Cr -2.036 2.177 5.090
Cr -1.732 1.775 9.279
Cr 0.244 0.158 6.298
Cr -2.173 -2.100 13.648
Cr -0.129 1.018 3.249
F -1.209 4.675 1.029
F -2.684 -0.336 12.766
F -1.406 -0.605 2.526
F -0.759 3.800 5.813
F -3.147 0.566 7.989
F -0.951 -1.478 7.309
F -0.758 -0.891 14.938
F -1.216 0.011 10.160
CELL_PARAMETERS angstrom
-1.284 4.959 1.044
-3.129 -0.840 0.143
1.379 -2.684 14.446
```

***

5.
Compound: Cr2F3
Source: Alexandria
Functional: GGA+U
Structure: relaxed Values from VASP.

Values from the calculation:
Symmetry: No. 167
DFT total energy in eV for the cell shown: -60.10
Density of states at the Fermi level in states/eV per atom: 1.034

Geometry as Quantum ESPRESSO input:
```
&SYSTEM
  ibrav = 0, nat = 10, ntyp = 2
/
ATOMIC_SPECIES
Cr 52.00 Cr.upf
F 19.00 F.upf
ATOMIC_POSITIONS angstrom
Cr 1.231 -9.995 -1.557
Cr -0.241 -7.920 1.710
Cr 1.203 -6.210 -2.028
Cr -0.269 -4.136 1.239
F 1.892 -7.298 1.723
F 2.269 -8.041 -1.358
F -0.373 -9.266 -0.052
F -1.307 -6.090 1.040
F 1.335 -4.864 -0.266
F -0.929 -6.833 -2.041
CELL_PARAMETERS angstrom
-1.675 -4.726 -2.809
3.629 -4.414 -0.617
-0.991 -4.991 3.108
```

***

6.
Compound: CrF4
Source: Alexandria
Functional: GGA+U
Structure: relaxed Values from VASP.

Values from the calculation:
Symmetry: No. 136
DFT total energy in eV for the cell shown: -105.41

Geometry as Quantum ESPRESSO input:
```
&SYSTEM
  ibrav = 0, nat = 20, ntyp = 2
/
ATOMIC_SPECIES
F 19.00 F.upf
Cr 52.00 Cr.upf
ATOMIC_POSITIONS angstrom
F 1.468 5.224 1.928
F 5.224 1.468 1.928
F 5.364 3.265 0.000
F 0.909 2.847 0.000
F 7.580 7.580 1.928
F 7.798 0.832 0.000
F 7.721 5.783 0.000
F 3.265 5.364 0.000
F 3.406 7.162 1.928
F 5.147 5.147 1.928
F 5.783 7.721 0.000
F 1.049 1.049 1.928
F 0.832 7.798 0.000
F 3.483 3.483 1.928
F 7.162 3.406 1.928
F 2.847 0.909 0.000
Cr 7.509 7.509 0.000
Cr 1.121 1.121 0.000
Cr 3.194 5.436 1.928
Cr 5.436 3.194 1.928
CELL_PARAMETERS angstrom
8.630 0.000 0.000
0.000 8.630 0.000
0.000 0.000 3.856
```

***

Question: What is the formula in the fifth record?
Answer: Cr2F3

***

Copy entry 2 word for word.
Compound: CrF
Source: Alexandria
Functional: GGA+U
Structure: relaxed Values from VASP.

Values from the calculation:
Symmetry: No. 31
Distance to the lowest polymorph of the same formula in eV/atom: 0.0033
Density of states at the Fermi level in states/eV per atom: 0.154

Geometry as Quantum ESPRESSO input:
```
&SYSTEM
  ibrav = 0, nat = 12, ntyp = 2
/
ATOMIC_SPECIES
Cr 52.00 Cr.upf
F 19.00 F.upf
ATOMIC_POSITIONS angstrom
Cr -0.795 -5.429 1.318
Cr 1.946 -8.137 1.086
Cr 2.835 -5.323 0.008
Cr 0.800 -1.981 0.066
Cr -1.445 -9.091 2.789
Cr 3.487 -1.667 -1.477
F 2.708 -9.805 1.916
F 0.200 -7.956 2.554
F 1.139 -6.452 0.241
F 4.481 -4.191 -0.235
F 4.966 -1.399 0.443
F 1.561 -3.646 0.903
CELL_PARAMETERS angstrom
-3.134 -9.924 3.801
0.455 -1.292 -2.999
4.972 -1.100 1.228
```